Below is a relaxed GaTeW2O crystal, with properties calculated at the PBE with a Hubbard U level.

Its energy above the most stable polymorph in this dataset is 0.727 eV per atom. The calculation puts the mass density at 7.67 Mg/m³. Its space group is P4/mmm, No. 123. The calculation puts the density of states at the Fermi level at 0.616 states/eV per atom.

Cell and atoms, written as extended XYZ:
```
5
Lattice="5.600 0.000 0.000 0.000 5.600 0.000 0.000 0.000 4.009" Properties=species:S:1:pos:R:3 pbc="T T T"
Ga 0.000 0.000 0.000
Te 2.800 2.800 2.005
W 0.000 2.800 2.005
W 2.800 0.000 2.005
O 2.800 2.800 0.000
```